Entry 1:
First-principles (PBE) data for a relaxed LiZnHPd2 crystal, as listed in the Alexandria database.

- D(E_F): 0.3 states/eV per cell
- E above lowest polymorph: 0 meV/atom

abc: 3.9850 3.9850 3.6850
angles: 90.00 90.00 90.00
Last column: nearest neighbours and their distance in Å.
Positions (direct):
Li1 0.0000 0.0000 0.0000  2 H 1.84
Zn1 0.5000 0.5000 0.0000  8 Pd 2.71, 4 Li 2.82
H1 0.0000 0.0000 0.5000  2 Li 1.84, 4 Pd 1.99
Pd1 0.0000 0.5000 0.5000  2 H 1.99
Pd2 0.5000 0.0000 0.5000  2 H 1.99

***

Entry 2:
First-principles (PBE) data for a relaxed LiPm2BePt2 crystal, as listed in the Alexandria database.

- D(E_F): 8.7 states/eV per cell
- ΔE_f: -758 meV/atom

abc: 8.0822 8.0822 8.0822
angles: 138.12 61.42 137.20
Last column: nearest neighbours and their distance in Å.
Positions (direct):
Li1 0.2500 0.2500 0.0000  4 Pt 2.68, 2 Be 2.89, 2 Li 2.95
Li2 0.7500 0.7500 0.0000  4 Pt 2.68, 2 Be 2.89, 2 Li 2.95
Pm1 0.1657 0.2290 0.3948  5 Pt 2.92-3.13, 2 Li 3.04, 2 Be 3.15
Pm2 0.3343 0.7290 0.0633  5 Pt 2.92-3.13, 2 Li 3.04, 2 Be 3.15
Pm3 0.6657 0.2710 0.9367  5 Pt 2.92-3.13, 2 Li 3.04, 2 Be 3.15
Pm4 0.8343 0.7710 0.6052  5 Pt 2.92-3.13, 2 Li 3.04, 2 Be 3.15
Be1 0.2500 0.7500 0.5000  4 Pt 2.46
Be2 0.7500 0.2500 0.5000  4 Pt 2.46
Pt1 0.1094 0.7163 0.8257  2 Be 2.46, 2 Li 2.68
Pt2 0.3906 0.2163 0.6068  2 Be 2.46, 2 Li 2.68
Pt3 0.6094 0.7837 0.3932  2 Be 2.46, 2 Li 2.68
Pt4 0.8906 0.2837 0.1743  2 Be 2.46, 2 Li 2.68

***

Entry 3:
First-principles (PBE) data for a relaxed LuZrMnFe crystal, as listed in the Alexandria database.

- D(E_F): 6.6 states/eV per cell
- ΔE_f: 48 meV/atom

abc: 4.6350 4.6350 4.6350
angles: 60.00 60.00 60.00
Last column: nearest neighbours and their distance in Å.
Positions (direct):
Lu1 0.0000 0.0000 0.0000  4 Mn 2.84, 4 Fe 2.84
Zr1 0.5000 0.5000 0.5000  4 Mn 2.84, 4 Fe 2.84
Mn1 0.7500 0.7500 0.7500  4 Zr 2.84, 4 Lu 2.84
Fe1 0.2500 0.2500 0.2500  4 Zr 2.84, 4 Lu 2.84